Compound: CrNiMo
Source: the Alexandria database
Functional: PBE-GGA
Structure: optimized geometry

The structure in CIF format:
```
data_CrNiMo
_chemical_formula_sum 'Cr4 Ni4 Mo4'
_space_group_name_H-M_alt 'F m m 2'
_space_group_IT_number 42
_space_group_name_Hall 'F 2 -2'
_cell_length_a 3.249
_cell_length_b 3.970
_cell_length_c 11.956
_cell_angle_alpha 90.00
_cell_angle_beta 90.00
_cell_angle_gamma 90.00
loop_
_atom_site_label
_atom_site_type_symbol
_atom_site_fract_x
_atom_site_fract_y
_atom_site_fract_z
Cr1 Cr 0.000 0.000 0.000
Ni1 Ni 0.000 0.000 0.350
Mo1 Mo 0.000 0.000 0.678
```

Values from the calculation:
Raw total energy   -103.8 eV for the cell shown
Total magnetic moment   0.000 μB/cell
Formation enthalpy at 0 K   9 kJ per mole of atoms

Compound: NiAgIr4
Source: the Alexandria database
Functional: PBE-GGA
Structure: optimized geometry

The structure in CIF format:
```
data_NiAgIr4
_chemical_formula_sum 'Ni4 Ag4 Ir16'
_space_group_name_H-M_alt 'F -4 3 m'
_space_group_IT_number 216
_space_group_name_Hall 'F -4 2 3'
_cell_length_a 7.320
_cell_length_b 7.320
_cell_length_c 7.320
_cell_angle_alpha 90.00
_cell_angle_beta 90.00
_cell_angle_gamma 90.00
loop_
_atom_site_label
_atom_site_type_symbol
_atom_site_fract_x
_atom_site_fract_y
_atom_site_fract_z
Ni1 Ni 0.000 0.000 0.000
Ag1 Ag 0.250 0.250 0.750
Ir1 Ir 0.125 0.125 0.375
```

Values from the calculation:
Raw total energy   -160.7 eV for the cell shown
Total magnetic moment   15.378 μB/cell
Formation enthalpy at 0 K   63 kJ per mole of atoms

Compound: AcAlCdAu3
Source: the Alexandria database
Functional: PBE-GGA
Structure: optimized geometry

The structure in CIF format:
```
data_AcAlCdAu3
_chemical_formula_sum 'Ac4 Al4 Cd4 Au12'
_space_group_name_H-M_alt 'C m c m'
_space_group_IT_number 63
_space_group_name_Hall '-C 2c 2'
_cell_length_a 6.544
_cell_length_b 13.012
_cell_length_c 6.799
_cell_angle_alpha 90.00
_cell_angle_beta 90.00
_cell_angle_gamma 90.00
loop_
_atom_site_label
_atom_site_type_symbol
_atom_site_fract_x
_atom_site_fract_y
_atom_site_fract_z
Ac1 Ac 0.000 0.198 0.250
Al1 Al 0.000 0.455 0.250
Cd1 Cd 0.000 0.137 0.750
Au1 Au 0.000 0.344 0.750
Au2 Au 0.222 0.000 0.000
```

Values from the calculation:
Raw total energy   -84.2 eV for the cell shown
Total magnetic moment   0.000 μB/cell
Formation enthalpy at 0 K   -39 kJ per mole of atoms

Compound: LaPm3HoEr
Source: the Alexandria database
Functional: PBE-GGA
Structure: optimized geometry

The structure in CIF format:
```
data_LaPm3HoEr
_chemical_formula_sum 'La2 Pm6 Ho2 Er2'
_space_group_name_H-M_alt 'P 1 21/m 1'
_space_group_IT_number 11
_cell_length_a 8.079
_cell_length_b 5.148
_cell_length_c 10.263
_cell_angle_alpha 90.00
_cell_angle_beta 108.58
_cell_angle_gamma 90.00
loop_
_space_group_symop_operation_xyz
'x,y,z'
'-x,-y,-z'
'-x,y+1/2,-z'
'x,-y+1/2,z'
loop_
_atom_site_label
_atom_site_type_symbol
_atom_site_fract_x
_atom_site_fract_y
_atom_site_fract_z
La1 La 0.170 0.250 0.292
Pm1 Pm 0.170 0.250 0.793
Pm2 Pm 0.171 0.750 0.041
Pm3 Pm 0.171 0.750 0.544
Ho1 Ho 0.499 0.250 0.627
Er1 Er 0.498 0.750 0.876
```

Values from the calculation:
Raw total energy   -56.3 eV for the cell shown
Total magnetic moment   0.002 μB/cell
Formation enthalpy at 0 K   3 kJ per mole of atoms

Compound: Tl2HgCl
Source: the Alexandria database
Functional: PBE-GGA
Structure: optimized geometry

The structure in CIF format:
```
data_Tl2HgCl
_chemical_formula_sum 'Tl4 Hg2 Cl2'
_space_group_name_H-M_alt 'I m m 2'
_space_group_IT_number 44
_cell_length_a 4.545
_cell_length_b 4.577
_cell_length_c 11.767
_cell_angle_alpha 90.00
_cell_angle_beta 90.00
_cell_angle_gamma 90.00
loop_
_space_group_symop_operation_xyz
'x,y,z'
'-x,-y,z'
'-x,y,z'
'x,-y,z'
'x+1/2,y+1/2,z+1/2'
'-x+1/2,-y+1/2,z+1/2'
'-x+1/2,y+1/2,z+1/2'
'x+1/2,-y+1/2,z+1/2'
loop_
_atom_site_label
_atom_site_type_symbol
_atom_site_fract_x
_atom_site_fract_y
_atom_site_fract_z
Tl1 Tl 0.000 0.000 0.000
Tl2 Tl 0.000 0.500 0.249
Hg1 Hg 0.000 0.000 0.498
Cl1 Cl 0.000 0.500 0.747
```

Values from the calculation:
Raw total energy   -17.0 eV for the cell shown
Uncorrected formation energy   -0.40 eV per atom
Total magnetic moment   0.000 μB/cell

Compound: PuCdGa2Au2
Source: the Alexandria database
Functional: PBE-GGA
Structure: optimized geometry

The structure in CIF format:
```
data_PuCdGa2Au2
_chemical_formula_sum 'Pu1 Cd1 Ga2 Au2'
_space_group_name_H-M_alt 'P -3 m 1'
_space_group_IT_number 164
_space_group_name_Hall '-P 3 2"'
_cell_length_a 4.5485
_cell_length_b 4.5485
_cell_length_c 6.9222
_cell_angle_alpha 90.00
_cell_angle_beta 90.00
_cell_angle_gamma 120.00
loop_
_atom_site_label
_atom_site_type_symbol
_atom_site_fract_x
_atom_site_fract_y
_atom_site_fract_z
Pu1 Pu 0.0000 0.0000 0.0000
Cd1 Cd 0.0000 0.0000 0.5000
Ga1 Ga 0.3333 0.6667 0.2481
Au1 Au 0.3333 0.6667 0.7281
```

Values from the calculation:
Raw total energy   -29.9 eV for the cell shown
Total magnetic moment   5.667 μB/cell
Formation enthalpy at 0 K   -33 kJ per mole of atoms